The following is a PBE with a Hubbard U calculation of a relaxed Be2WF crystal, from the Alexandria database.

Values from the calculation:
Spin magnetization ... 0.0 μB per cell
Excess energy over the best structure of this formula in the dataset ... 0.0 meV per atom
DOS at the Fermi energy ... 1.76 states/eV/cell

a = 5.184 Å, b = 5.184 Å, c = 6.869 Å
α = 90.00°, β = 90.00°, γ = 90.00°
Space group I-42d (No. 122)
Unique sites:
Be  0.124  0.250  0.125 (multiplicity 8)
W  0.000  0.000  0.500 (multiplicity 4)
F  0.000  0.000  0.000 (multiplicity 4)